No. 1
# VFeRh, optimized geometry, DFT PBE
data_VFeRh
_symmetry_space_group_name_H-M 'P 1 21/m 1'
_symmetry_Int_Tables_number 11
_symmetry_space_group_name_Hall '-P 2yb'
_cell_length_a 2.723
_cell_length_b 4.029
_cell_length_c 7.032
_cell_angle_alpha 90.00
_cell_angle_beta 90.04
_cell_angle_gamma 90.00
loop_
_atom_site_label
_atom_site_type_symbol
_atom_site_fract_x
_atom_site_fract_y
_atom_site_fract_z
V1 V 0.246 0.250 0.255
Fe1 Fe 0.251 0.750 0.452
Rh1 Rh 0.251 0.250 0.883
# magnetization	2.08	μB per cell
# final energy	-8.484	eV/atom



No. 2
# Ga3TcCl, optimized geometry, DFT PBE
data_Ga3TcCl
_symmetry_space_group_name_H-M 'P m -3 m'
_symmetry_Int_Tables_number 221
_symmetry_space_group_name_Hall '-P 4 2 3'
_cell_length_a 4.915
_cell_length_b 4.915
_cell_length_c 4.915
_cell_angle_alpha 90.00
_cell_angle_beta 90.00
_cell_angle_gamma 90.00
loop_
_atom_site_label
_atom_site_type_symbol
_atom_site_fract_x
_atom_site_fract_y
_atom_site_fract_z
Ga1 Ga 0.000 0.000 0.500
Tc1 Tc 0.500 0.500 0.500
Cl1 Cl 0.000 0.000 0.000
# magnetization	2.98	μB per cell
# E_form (uncorrected)	1013	meV per atom



Please write out number 1 again, unchanged.
# VFeRh, optimized geometry, DFT PBE
data_VFeRh
_symmetry_space_group_name_H-M 'P 1 21/m 1'
_symmetry_Int_Tables_number 11
_symmetry_space_group_name_Hall '-P 2yb'
_cell_length_a 2.723
_cell_length_b 4.029
_cell_length_c 7.032
_cell_angle_alpha 90.00
_cell_angle_beta 90.04
_cell_angle_gamma 90.00
loop_
_atom_site_label
_atom_site_type_symbol
_atom_site_fract_x
_atom_site_fract_y
_atom_site_fract_z
V1 V 0.246 0.250 0.255
Fe1 Fe 0.251 0.750 0.452
Rh1 Rh 0.251 0.250 0.883
# magnetization	2.08	μB per cell
# final energy	-8.484	eV/atom